Record 1
Here is a geometry-optimized HfZrInTc structure from Alexandria via LeMat-Bulk. Energies are from PBE.

a = 3.343 Å, b = 3.343 Å, c = 7.141 Å
α = 90.00°, β = 90.00°, γ = 90.00°
Fractional coordinates of all 4 atoms:
Hf 0.500 0.500 0.356
Zr 0.500 0.500 0.791
In 0.000 0.000 0.075
Tc 0.000 0.000 0.563

Output
Relative energy among the computed polymorphs (meV per atom): 0
Space-group type: P4mm
E_tot (eV/atom): -8.29
Formation energy from the elements (eV/atom): -0.38



Record 2
Here is a geometry-optimized LiY2Cd structure from Alexandria via LeMat-Bulk. Energies are from PBE.

a = 3.727 Å, b = 3.727 Å, c = 7.496 Å
α = 90.00°, β = 90.00°, γ = 90.00°
Each line ends with the local moment (μB).
Fractional coordinates of all 4 atoms:
Y 0.000 0.000 0.975  0.22
Y 0.500 0.500 0.280  0.18
Li 0.500 0.500 0.714  0.01
Cd 0.000 0.000 0.532  0.01

Output
Relative energy among the computed polymorphs (meV per atom): 39
Space-group type: P4mm
E_tot (eV/atom): -4.05
Formation energy from the elements (eV/atom): -0.11



Record 3
Here is a geometry-optimized Tb2Pm3SmTe6 structure from Alexandria via LeMat-Bulk. Energies are from PBE.

a = 4.406 Å, b = 8.915 Å, c = 9.911 Å
α = 103.15°, β = 102.84°, γ = 90.00°
Fractional coordinates of all 12 atoms:
Tb 0.834 0.669 0.669
Tb 0.166 0.331 0.331
Pm 0.500 0.500 0.000
Pm 0.836 0.167 0.672
Pm 0.164 0.833 0.328
Sm 0.500 0.000 0.000
Te 0.333 0.911 0.665
Te 0.669 0.579 0.338
Te 0.667 0.089 0.335
Te 0.003 0.250 0.005
Te 0.997 0.750 0.995
Te 0.331 0.421 0.662

Output
Space-group type: C2/m
E_tot (eV/atom): -5.30
Formation energy from raw total energies (eV per atom): -1.373



| no. | size of the total moment (μB per formula unit) |
| --- | --- |
| 1 | 0.0 |
| 2 | 0.8 |
| 3 | 0.0 |